(one)
Entry from Alexandria via LeMat-Bulk: La4Ir3 after structural relaxation (PBE).

Results
Fermi-level density of states   10.6 states/eV per cell

```
La4Ir3
1.0
5.6458 0.0000 0.0000
-2.8229 4.8894 0.0000
0.0000 0.0000 5.8697
La Ir
4 3
direct
0.0000 0.0000 0.2386
0.0000 0.0000 0.7614
0.3333 0.6667 0.5000
0.6667 0.3333 0.5000
0.0000 0.5000 0.0000
0.5000 0.0000 0.0000
0.5000 0.5000 0.0000
```



(two)
Entry from Alexandria via LeMat-Bulk: La4Ir3 after structural relaxation (PBE).

Results
Fermi-level density of states   4.0 states/eV per cell

```
La4Ir3
1.0
7.2033 -2.2005 0.0000
7.2033 2.2005 0.0000
-3.7750 0.0000 6.3746
La Ir
4 3
direct
0.1230 0.1230 0.2946
0.3641 0.3641 0.2007
0.6359 0.6359 0.7993
0.8770 0.8770 0.7054
0.2590 0.2590 0.7589
0.5000 0.5000 0.0000
0.7410 0.7410 0.2411
```



If we sort the structures by their calculated energies, the order from most to least stable is (two), (one).



(one)
Entry from Alexandria via LeMat-Bulk: La4Ir5 after structural relaxation (PBE).

Results
Fermi-level density of states   5.1 states/eV per cell

```
La4Ir5
1.0
-4.8765 4.8765 2.1115
4.8765 -4.8765 2.1115
4.8765 4.8765 -2.1115
La Ir
4 5
direct
0.0000 0.2859 0.2859
0.0000 0.7141 0.7141
0.2859 0.0000 0.2859
0.7141 0.0000 0.7141
0.0000 0.0000 0.0000
0.3381 0.3381 0.6761
0.3381 0.6619 0.0000
0.6619 0.3381 0.0000
0.6619 0.6619 0.3239
```



(two)
Entry from Alexandria via LeMat-Bulk: La4Ir5 after structural relaxation (PBE).

Results
Fermi-level density of states   22.5 states/eV per cell

```
La4Ir5
1.0
8.6601 0.0000 0.0000
-4.3301 7.4999 0.0000
0.0000 0.0000 6.1490
La Ir
8 10
direct
0.0000 0.0000 0.0000
0.0000 0.0000 0.5000
0.0000 0.3775 0.2500
0.0000 0.6225 0.7500
0.3775 0.0000 0.2500
0.3775 0.3775 0.7500
0.6225 0.0000 0.7500
0.6225 0.6225 0.2500
0.0000 0.2984 0.7500
0.0000 0.7016 0.2500
0.2984 0.0000 0.7500
0.2984 0.2984 0.2500
0.3333 0.6667 0.0000
0.3333 0.6667 0.5000
0.6667 0.3333 0.0000
0.6667 0.3333 0.5000
0.7016 0.0000 0.2500
0.7016 0.7016 0.7500
```



If we sort the structures by their calculated energies, the order from most to least stable is (one), (two).



(one)
Entry from Alexandria via LeMat-Bulk: LiLa2Ir2 after structural relaxation (PBE).

Results
Fermi-level density of states   3.0 states/eV per cell

```
LiLa2Ir2
1.0
-2.1465 3.0113 4.2516
2.1465 -3.0113 4.2516
2.1465 3.0113 -4.2516
Li La Ir
1 2 2
direct
0.0000 0.0000 0.0000
0.2999 0.7999 0.5000
0.7001 0.2001 0.5000
0.2578 0.5000 0.7578
0.7422 0.5000 0.2422
```



(two)
Entry from Alexandria via LeMat-Bulk: LiLa2Ir2 after structural relaxation (PBE).

Results
Fermi-level density of states   4.5 states/eV per cell

```
LiLa2Ir2
1.0
8.3392 0.0000 0.0000
0.0000 8.3392 0.0000
0.0000 0.0000 3.4424
Li La Ir
2 4 4
direct
0.0000 0.0000 0.0000
0.5000 0.5000 0.0000
0.1486 0.3514 0.0000
0.3514 0.8514 0.0000
0.6486 0.1486 0.0000
0.8514 0.6486 0.0000
0.1491 0.6491 0.5000
0.3509 0.1491 0.5000
0.6491 0.8509 0.5000
0.8509 0.3509 0.5000
```



If we sort the structures by their calculated energies, the order from most to least stable is (one), (two).